Record 1
K7IO2 | GGA-PBE | relaxed

Values from the calculation:
Calculated total energy ... -2.71 eV/atom
SG ... Cmmm
Raw formation energy ... -0.799 eV per atom

The structure in POSCAR format:
```
K7IO2
1.0
4.7398 -7.2359 0.0000
4.7398 7.2359 0.0000
0.0000 0.0000 5.3064
K I O
7 1 2
direct
0.0000 0.0000 0.0000
0.1683 0.4636 0.0000
0.1930 0.8070 0.5000
0.4636 0.1683 0.0000
0.5364 0.8317 0.0000
0.8070 0.1930 0.5000
0.8317 0.5364 0.0000
0.5000 0.5000 0.5000
0.2137 0.7863 0.0000
0.7863 0.2137 0.0000
```


Record 2
CsHfZr2 | GGA-PBE | relaxed

Values from the calculation:
Calculated total energy ... -5.78 eV/atom
Energy relative to the lowest polymorph listed for this composition ... 0.000 eV per atom
Energy of formation ... 1.198 eV/atom
SG ... Fm-3m

The structure in POSCAR format:
```
CsHfZr2
1.0
0.0000 3.7427 3.7427
3.7427 0.0000 3.7427
3.7427 3.7427 0.0000
Cs Hf Zr
1 1 2
direct
0.0000 0.0000 0.0000
0.5000 0.5000 0.5000
0.2500 0.2500 0.2500
0.7500 0.7500 0.7500
```


Record 3
NaB2TeRh | GGA-PBE | relaxed

Values from the calculation:
Calculated total energy ... -4.28 eV/atom
SG ... P4/mmm
Raw formation energy ... 0.749 eV per atom

The structure in POSCAR format:
```
NaB2TeRh
1.0
4.1006 0.0000 0.0000
0.0000 4.1006 0.0000
0.0000 0.0000 5.6942
Na B Te Rh
1 2 1 1
direct
0.0000 0.0000 0.0000
0.0000 0.5000 0.5000
0.5000 0.0000 0.5000
0.5000 0.5000 0.0000
0.0000 0.0000 0.5000
```


Record 4
SrSm5In3 | GGA-PBE | relaxed

Values from the calculation:
Calculated total energy ... -4.06 eV/atom
Energy of formation ... -0.334 eV/atom
SG ... P6_3/mcm

The structure in POSCAR format:
```
SrSm5In3
1.0
9.5931 0.0000 0.0000
-4.7966 8.3079 0.0000
0.0000 0.0000 6.9694
Sr Sm In
2 10 6
direct
0.0000 0.0000 0.0000
0.0000 0.0000 0.5000
0.0000 0.3381 0.2500
0.0000 0.6619 0.7500
0.3333 0.6667 0.0000
0.3333 0.6667 0.5000
0.3381 0.0000 0.2500
0.3381 0.3381 0.7500
0.6619 0.0000 0.7500
0.6619 0.6619 0.2500
0.6667 0.3333 0.0000
0.6667 0.3333 0.5000
0.0000 0.3340 0.7500
0.0000 0.6660 0.2500
0.3340 0.0000 0.7500
0.3340 0.3340 0.2500
0.6660 0.0000 0.2500
0.6660 0.6660 0.7500
```


Record 5
In2CuRh | GGA-PBE | relaxed

Values from the calculation:
Calculated total energy ... -4.21 eV/atom
Energy of formation ... 0.018 eV/atom
SG ... R-3m

The structure in POSCAR format:
```
In2CuRh
1.0
1.6068 0.9277 8.1968
-1.6068 0.9277 8.1968
0.0000 -1.8553 8.1968
In Cu Rh
2 1 1
direct
0.2499 0.2499 0.2499
0.7501 0.7501 0.7501
0.0000 0.0000 0.0000
0.5000 0.5000 0.5000
```


Record 6
Ca3ZrBr | GGA-PBE | relaxed

Values from the calculation:
Calculated total energy ... -3.21 eV/atom
Energy relative to the lowest polymorph listed for this composition ... 0.000 eV per atom
SG ... Pm-3m
Raw formation energy ... 0.039 eV per atom

The structure in POSCAR format:
```
Ca3ZrBr
1.0
5.5966 0.0000 0.0000
0.0000 5.5966 0.0000
0.0000 0.0000 5.5966
Ca Zr Br
3 1 1
direct
0.0000 0.0000 0.5000
0.0000 0.5000 0.0000
0.5000 0.0000 0.0000
0.5000 0.5000 0.5000
0.0000 0.0000 0.0000
```


Record 7
Dy3HoIn3 | GGA-PBE | relaxed

Values from the calculation:
Calculated total energy ... -4.13 eV/atom
Energy relative to the lowest polymorph listed for this composition ... 0.000 eV per atom
Energy of formation ... -0.327 eV/atom
SG ... P6_3/m

The structure in POSCAR format:
```
Dy3HoIn3
1.0
9.3256 0.0000 0.0000
-4.6628 8.0762 0.0000
0.0000 0.0000 5.1600
Dy Ho In
6 2 6
direct
0.0030 0.2342 0.2500
0.2312 0.9970 0.2500
0.2342 0.2312 0.7500
0.7658 0.7688 0.2500
0.7688 0.0030 0.7500
0.9970 0.7658 0.7500
0.3333 0.6667 0.2500
0.6667 0.3333 0.7500
0.0716 0.4551 0.7500
0.3835 0.9284 0.7500
0.4551 0.3835 0.2500
0.5449 0.6165 0.7500
0.6165 0.0716 0.2500
0.9284 0.5449 0.2500
```


Record 8
Sr2AsIr | GGA-PBE | relaxed

Values from the calculation:
Calculated total energy ... -4.28 eV/atom
Energy of formation ... -0.065 eV/atom
SG ... R-3m

The structure in POSCAR format:
```
Sr2AsIr
1.0
1.9576 1.1302 8.5754
-1.9576 1.1302 8.5754
0.0000 -2.2605 8.5754
Sr As Ir
2 1 1
direct
0.2468 0.2468 0.2468
0.7532 0.7532 0.7532
0.0000 0.0000 0.0000
0.5000 0.5000 0.5000
```


Record 9
BaHfSeBr2 | GGA-PBE | relaxed

Values from the calculation:
Calculated total energy ... -4.92 eV/atom
Energy relative to the lowest polymorph listed for this composition ... 0.000 eV per atom
SG ... P4/mmm
Raw formation energy ... -1.183 eV per atom

The structure in POSCAR format:
```
BaHfSeBr2
1.0
5.3009 0.0000 0.0000
0.0000 5.3009 0.0000
0.0000 0.0000 5.2603
Ba Hf Se Br
1 1 1 2
direct
0.0000 0.0000 0.0000
0.5000 0.5000 0.5000
0.5000 0.5000 0.0000
0.0000 0.5000 0.5000
0.5000 0.0000 0.5000
```


Record 10
Er5SnRu3 | GGA-PBE | relaxed

Values from the calculation:
Calculated total energy ... -6.29 eV/atom
Energy of formation ... -0.221 eV/atom
SG ... C2/m

The structure in POSCAR format:
```
Er5SnRu3
1.0
6.0093 -4.4210 0.0000
6.0093 4.4210 0.0000
-3.5007 0.0000 9.0602
Er Sn Ru
10 2 6
direct
0.0416 0.0416 0.3488
0.1318 0.5185 0.3514
0.2024 0.7976 0.0000
0.2644 0.2644 0.9504
0.4815 0.8682 0.6486
0.5185 0.1318 0.3514
0.7356 0.7356 0.0496
0.7976 0.2024 0.0000
0.8682 0.4815 0.6486
0.9584 0.9584 0.6512
0.4189 0.4189 0.7111
0.5811 0.5811 0.2889
0.1632 0.1632 0.1644
0.1815 0.1815 0.6399
0.5000 0.5000 0.0000
0.5000 0.5000 0.5000
0.8185 0.8185 0.3601
0.8368 0.8368 0.8356
```


Record 11
Na2Hf2Cd | GGA-PBE | relaxed

Values from the calculation:
Calculated total energy ... -3.94 eV/atom
Energy relative to the lowest polymorph listed for this composition ... 0.000 eV per atom
Energy of formation ... 0.757 eV/atom
SG ... I4/mmm

The structure in POSCAR format:
```
Na2Hf2Cd
1.0
-1.8650 1.8650 8.9505
1.8650 -1.8650 8.9505
1.8650 1.8650 -8.9505
Na Hf Cd
2 2 1
direct
0.2500 0.7500 0.5000
0.7500 0.2500 0.5000
0.0841 0.0841 0.0000
0.9159 0.9159 0.0000
0.5000 0.5000 0.0000
```


Record 12
Ti6BeN4 | GGA-PBE | relaxed

Values from the calculation:
Calculated total energy ... -9.05 eV/atom
SG ... Cmcm
Raw formation energy ... -1.375 eV per atom

The structure in POSCAR format:
```
Ti6BeN4
1.0
1.5161 -5.0552 0.0000
1.5161 5.0552 0.0000
0.0000 0.0000 15.6990
Ti Be N
12 2 8
direct
0.0000 0.0000 0.0000
0.0000 0.0000 0.5000
0.1526 0.8474 0.7500
0.2779 0.7221 0.0801
0.2779 0.7221 0.4199
0.4597 0.5403 0.6535
0.4597 0.5403 0.8465
0.5403 0.4597 0.1535
0.5403 0.4597 0.3465
0.7221 0.2779 0.5801
0.7221 0.2779 0.9199
0.8474 0.1526 0.2500
0.1619 0.8381 0.2500
0.8381 0.1619 0.7500
0.0907 0.9093 0.6232
0.0907 0.9093 0.8768
0.3622 0.6378 0.5404
0.3622 0.6378 0.9596
0.6378 0.3622 0.0404
0.6378 0.3622 0.4596
0.9093 0.0907 0.1232
0.9093 0.0907 0.3768
```


Record 13
ZnCoAg2 | GGA-PBE | relaxed

Values from the calculation:
Calculated total energy ... -3.27 eV/atom
Energy of formation ... 0.247 eV/atom
SG ... C2/m

The structure in POSCAR format:
```
ZnCoAg2
1.0
2.7330 -4.5729 0.0000
2.7330 4.5729 0.0000
-1.1034 0.0000 2.4748
Zn Co Ag
1 1 2
direct
0.0000 0.0000 0.0000
0.5000 0.5000 0.0000
0.0000 0.5000 0.5000
0.5000 0.0000 0.5000
```


Record 14
SrNpGe2 | GGA-PBE | relaxed

Values from the calculation:
Calculated total energy ... -6.05 eV/atom
Energy of formation ... -0.086 eV/atom
SG ... R-3m

The structure in POSCAR format:
```
SrNpGe2
1.0
2.3324 1.3466 5.9868
-2.3324 1.3466 5.9868
0.0000 -2.6932 5.9868
Sr Np Ge
1 1 2
direct
0.0000 0.0000 0.0000
0.5000 0.5000 0.5000
0.2271 0.2271 0.2271
0.7729 0.7729 0.7729
```


Record 15
TaCrW2 | GGA-PBE | relaxed

Values from the calculation:
Calculated total energy ... -10.94 eV/atom
Energy relative to the lowest polymorph listed for this composition ... 0.934 eV per atom
Energy of formation ... 0.902 eV/atom
SG ... I-42d

The structure in POSCAR format:
```
TaCrW2
1.0
-1.8402 1.8402 9.9955
1.8402 -1.8402 9.9955
1.8402 1.8402 -9.9955
Ta Cr W
2 2 4
direct
0.0000 0.0000 0.0000
0.7500 0.2500 0.5000
0.2500 0.7500 0.5000
0.5000 0.5000 0.0000
0.1262 0.6250 0.0012
0.3750 0.3762 0.5012
0.6238 0.1250 0.9988
0.8750 0.8738 0.4988
```


Record 16
DyGeRh | GGA-PBE | relaxed

Values from the calculation:
Calculated total energy ... -6.40 eV/atom
Energy of formation ... -0.872 eV/atom
SG ... C2/m

The structure in POSCAR format:
```
DyGeRh
1.0
5.1428 -2.1197 0.0000
5.1428 2.1197 0.0000
-4.4214 0.0000 5.3302
Dy Ge Rh
2 2 2
direct
0.0583 0.0583 0.2952
0.9417 0.9417 0.7048
0.3399 0.3399 0.2803
0.6601 0.6601 0.7197
0.3199 0.3199 0.8936
0.6801 0.6801 0.1064
```


Record 17
Na2PaTe3 | GGA-PBE | relaxed

Values from the calculation:
Calculated total energy ... -4.48 eV/atom
SG ... Cmmm
Raw formation energy ... -0.888 eV per atom

The structure in POSCAR format:
```
Na2PaTe3
1.0
3.1350 -7.5440 0.0000
3.1350 7.5440 0.0000
0.0000 0.0000 4.5717
Na Pa Te
2 1 3
direct
0.1478 0.8522 0.0000
0.8522 0.1478 0.0000
0.5000 0.5000 0.5000
0.0000 0.0000 0.5000
0.3610 0.6390 0.0000
0.6390 0.3610 0.0000
```


Record 18
Y2MgNi2 | GGA-PBE | relaxed

Values from the calculation:
Calculated total energy ... -5.29 eV/atom
Energy of formation ... -0.068 eV/atom
SG ... I4/mmm

The structure in POSCAR format:
```
Y2MgNi2
1.0
-1.7484 1.7484 9.1416
1.7484 -1.7484 9.1416
1.7484 1.7484 -9.1416
Y Mg Ni
2 1 2
direct
0.1322 0.1322 0.0000
0.8678 0.8678 0.0000
0.5000 0.5000 0.0000
0.2500 0.7500 0.5000
0.7500 0.2500 0.5000
```


Record 19
K2NaIrBr6 | GGA-PBE | relaxed

Values from the calculation:
Calculated total energy ... -3.31 eV/atom
SG ... P-1
Raw formation energy ... -1.073 eV per atom

The structure in POSCAR format:
```
K2NaIrBr6
1.0
7.4358 0.0000 0.0000
3.3654 6.6316 0.0000
3.3662 2.0678 6.3041
K Na Ir Br
2 1 1 6
direct
0.2437 0.2437 0.2436
0.7563 0.7563 0.7564
0.5000 0.5000 0.5000
0.0000 0.0000 0.0000
0.1516 0.7857 0.3047
0.2143 0.6954 0.8483
0.3049 0.1519 0.7861
0.6951 0.8481 0.2139
0.7857 0.3046 0.1517
0.8484 0.2143 0.6953
```


Record 20
Al3FeNi12 | GGA-PBE | relaxed

Values from the calculation:
Calculated total energy ... -5.91 eV/atom
Energy of formation ... -0.345 eV/atom
SG ... P4/mmm

The structure in POSCAR format:
```
Al3FeNi12
1.0
3.5633 0.0000 0.0000
0.0000 3.5633 0.0000
0.0000 0.0000 14.1881
Al Fe Ni
3 1 12
direct
0.0000 0.0000 0.0000
0.0000 0.0000 0.2497
0.0000 0.0000 0.7503
0.0000 0.0000 0.5000
0.0000 0.5000 0.1254
0.0000 0.5000 0.3773
0.0000 0.5000 0.6227
0.0000 0.5000 0.8746
0.5000 0.0000 0.1254
0.5000 0.0000 0.3773
0.5000 0.0000 0.6227
0.5000 0.0000 0.8746
0.5000 0.5000 0.0000
0.5000 0.5000 0.2509
0.5000 0.5000 0.5000
0.5000 0.5000 0.7491
```


Record 21
Ba3Pd2Au3 | GGA-PBE | relaxed

Values from the calculation:
Calculated total energy ... -3.91 eV/atom
Energy of formation ... -0.657 eV/atom
SG ... Cmcm

The structure in POSCAR format:
```
Ba3Pd2Au3
1.0
2.3234 -5.9608 0.0000
2.3234 5.9608 0.0000
0.0000 0.0000 17.2936
Ba Pd Au
6 4 6
direct
0.0964 0.9036 0.7500
0.3712 0.6288 0.5877
0.3712 0.6288 0.9123
0.6288 0.3712 0.0877
0.6288 0.3712 0.4123
0.9036 0.0964 0.2500
0.3303 0.6697 0.1198
0.3303 0.6697 0.3802
0.6697 0.3303 0.6198
0.6697 0.3303 0.8802
0.0852 0.9148 0.5561
0.0852 0.9148 0.9439
0.1901 0.8099 0.2500
0.8099 0.1901 0.7500
0.9148 0.0852 0.0561
0.9148 0.0852 0.4439
```


Record 22
LaHoTh2Sb5 | GGA-PBE | relaxed

Values from the calculation:
Calculated total energy ... -5.26 eV/atom
SG ... P4/mmm
Raw formation energy ... -0.260 eV per atom

The structure in POSCAR format:
```
LaHoTh2Sb5
1.0
5.2583 0.0000 0.0000
0.0000 5.2583 0.0000
0.0000 0.0000 11.7058
La Ho Th Sb
1 1 2 5
direct
0.0000 0.0000 0.0000
0.0000 0.0000 0.5000
0.5000 0.5000 0.3052
0.5000 0.5000 0.6948
0.0000 0.0000 0.2535
0.0000 0.0000 0.7465
0.0000 0.5000 0.5000
0.5000 0.0000 0.5000
0.5000 0.5000 0.0000
```


Record 23
Sm2Al3PdAu4 | GGA-PBE | relaxed

Values from the calculation:
Calculated total energy ... -4.57 eV/atom
Energy of formation ... -0.669 eV/atom
SG ... P-4m2

The structure in POSCAR format:
```
Sm2Al3PdAu4
1.0
4.2515 0.0000 0.0000
0.0000 4.2515 0.0000
0.0000 0.0000 11.2938
Sm Al Pd Au
2 3 1 4
direct
0.0000 0.5000 0.2457
0.5000 0.0000 0.7543
0.0000 0.0000 0.0000
0.0000 0.5000 0.6289
0.5000 0.0000 0.3711
0.5000 0.5000 0.0000
0.0000 0.0000 0.5000
0.0000 0.5000 0.8482
0.5000 0.0000 0.1518
0.5000 0.5000 0.5000
```